{"formula": "V3H", "functional": "GGA-PBE", "state": "optimized geometry", "e_above_lowest_polymorph_ev_per_atom": 0.510, "lattice": [[2.983, 0.000, 0.000], [0.000, 3.891, 0.000], [0.000, 0.000, 4.189]], "species": ["V", "V", "V", "H"], "fractional_positions": [[0.000, 0.000, 0.000], [0.000, 0.500, 0.422], [0.500, 0.500, 0.931], [0.500, 0.000, 0.738]]}

{"formula": "La4PdCI2", "functional": "GGA-PBE", "state": "optimized geometry", "raw_formation_energy_kj_per_mol_atoms": -74.9, "lattice": [[7.415, 0.000, 0.000], [0.000, 4.106, 0.000], [-2.327, 0.000, 7.942]], "species": ["La", "La", "La", "La", "Pd", "C", "I", "I"], "fractional_positions": [[0.200, 0.000, 0.180], [0.237, 0.500, 0.814], [0.763, 0.500, 0.186], [0.800, 0.000, 0.820], [0.500, 0.000, 0.000], [0.000, 0.500, 0.000], [0.000, 0.000, 0.500], [0.500, 0.500, 0.500]]}

{"formula": "GaFe2Rh5", "functional": "GGA-PBE", "state": "optimized geometry", "total_energy_ev_per_atom": -7.29, "lattice": [[5.317, 0.000, 0.000], [0.000, 10.499, 0.000], [0.000, 0.000, 3.973]], "species": ["Ga", "Ga", "Fe", "Fe", "Fe", "Fe", "Rh", "Rh", "Rh", "Rh", "Rh", "Rh", "Rh", "Rh", "Rh", "Rh"], "fractional_positions": [[0.000, 0.000, 0.000], [0.500, 0.500, 0.000], [0.187, 0.363, 0.500], [0.313, 0.863, 0.500], [0.687, 0.137, 0.500], [0.813, 0.637, 0.500], [0.000, 0.500, 0.000], [0.070, 0.753, 0.000], [0.194, 0.113, 0.500], [0.306, 0.613, 0.500], [0.430, 0.253, 0.000], [0.500, 0.000, 0.000], [0.570, 0.747, 0.000], [0.694, 0.387, 0.500], [0.806, 0.887, 0.500], [0.930, 0.247, 0.000]]}

{"formula": "Sm2MnCu3Ge4", "functional": "GGA-PBE", "state": "optimized geometry", "total_energy_ev_per_atom": -5.41, "lattice": [[4.173, 0.000, 0.000], [0.000, 4.173, 0.000], [0.000, 0.000, 10.247]], "species": ["Sm", "Sm", "Mn", "Cu", "Cu", "Cu", "Ge", "Ge", "Ge", "Ge"], "fractional_positions": [[0.000, 0.500, 0.246], [0.500, 0.000, 0.754], [0.000, 0.000, 0.500], [0.000, 0.500, 0.869], [0.500, 0.000, 0.131], [0.500, 0.500, 0.500], [0.000, 0.000, 0.000], [0.000, 0.500, 0.635], [0.500, 0.000, 0.365], [0.500, 0.500, 0.000]]}

{"formula": "RbBaPmI6", "functional": "GGA-PBE", "state": "optimized geometry", "raw_formation_energy_kj_per_mol_atoms": -150.3, "lattice": [[8.619, 0.000, 0.000], [-4.310, 7.464, 0.000], [0.000, 0.000, 15.488]], "species": ["Rb", "Rb", "Ba", "Ba", "Pm", "Pm", "I", "I", "I", "I", "I", "I", "I", "I", "I", "I", "I", "I"], "fractional_positions": [[0.000, 0.000, 0.000], [0.000, 0.000, 0.500], [0.333, 0.667, 0.250], [0.667, 0.333, 0.750], [0.333, 0.667, 0.750], [0.667, 0.333, 0.250], [0.031, 0.381, 0.632], [0.031, 0.650, 0.868], [0.350, 0.381, 0.868], [0.350, 0.969, 0.632], [0.381, 0.031, 0.132], [0.381, 0.350, 0.368], [0.619, 0.650, 0.632], [0.619, 0.969, 0.868], [0.650, 0.031, 0.368], [0.650, 0.619, 0.132], [0.969, 0.350, 0.132], [0.969, 0.619, 0.368]]}

{"formula": "BiH5Ir", "functional": "GGA-PBE", "state": "optimized geometry", "total_energy_ev_per_atom": -4.05, "lattice": [[2.725, -3.824, 0.000], [2.725, 3.824, 0.000], [-1.942, 0.000, 6.942]], "species": ["Bi", "Bi", "H", "H", "H", "H", "H", "H", "H", "H", "H", "H", "Ir", "Ir"], "fractional_positions": [[0.185, 0.815, 0.750], [0.815, 0.185, 0.250], [0.141, 0.245, 0.978], [0.245, 0.141, 0.478], [0.248, 0.668, 0.428], [0.332, 0.752, 0.072], [0.499, 0.501, 0.250], [0.501, 0.499, 0.750], [0.668, 0.248, 0.928], [0.752, 0.332, 0.572], [0.755, 0.859, 0.522], [0.859, 0.755, 0.022], [0.500, 0.500, 0.000], [0.500, 0.500, 0.500]]}

{"formula": "CoIrPt2", "functional": "GGA-PBE", "state": "optimized geometry", "e_above_lowest_polymorph_ev_per_atom": 0.011, "lattice": [[2.728, 0.000, 0.000], [0.000, 2.728, 0.000], [0.000, 0.000, 7.663]], "species": ["Co", "Ir", "Pt", "Pt"], "fractional_positions": [[0.000, 0.000, 0.000], [0.500, 0.500, 0.222], [0.000, 0.000, 0.486], [0.500, 0.500, 0.761]]}

{"formula": "Rb2ThCdSe4", "functional": "GGA-PBE", "state": "optimized geometry", "raw_formation_energy_kj_per_mol_atoms": -123.8, "lattice": [[7.483, 0.000, 0.000], [0.000, 4.314, 0.000], [-2.724, 0.000, 8.010]], "species": ["Rb", "Rb", "Th", "Cd", "Se", "Se", "Se", "Se"], "fractional_positions": [[0.000, 0.000, 0.000], [0.500, 0.500, 0.000], [0.000, 0.500, 0.500], [0.500, 0.000, 0.500], [0.220, 0.000, 0.707], [0.272, 0.500, 0.313], [0.728, 0.500, 0.687], [0.780, 0.000, 0.293]]}

{"formula": "Sc2UF11", "functional": "GGA-PBE", "state": "optimized geometry", "raw_formation_energy_kj_per_mol_atoms": -356.3, "lattice": [[-3.788, 4.900, 5.478], [3.788, -4.900, 5.478], [3.788, 4.900, -5.478]], "species": ["Sc", "Sc", "Sc", "Sc", "U", "U", "F", "F", "F", "F", "F", "F", "F", "F", "F", "F", "F", "F", "F", "F", "F", "F", "F", "F", "F", "F", "F", "F"], "fractional_positions": [[0.182, 0.127, 0.310], [0.318, 0.627, 0.945], [0.682, 0.373, 0.055], [0.818, 0.873, 0.690], [0.250, 0.750, 0.500], [0.750, 0.250, 0.500], [0.000, 0.000, 0.000], [0.036, 0.449, 0.787], [0.072, 0.848, 0.654], [0.162, 0.949, 0.412], [0.193, 0.417, 0.346], [0.228, 0.866, 0.094], [0.272, 0.366, 0.638], [0.307, 0.652, 0.224], [0.338, 0.751, 0.787], [0.428, 0.083, 0.776], [0.464, 0.251, 0.412], [0.500, 0.500, 0.000], [0.536, 0.749, 0.588], [0.572, 0.917, 0.224], [0.662, 0.249, 0.213], [0.693, 0.348, 0.776], [0.728, 0.634, 0.362], [0.772, 0.134, 0.906], [0.807, 0.583, 0.654], [0.838, 0.051, 0.588], [0.928, 0.152, 0.346], [0.964, 0.551, 0.213]]}

{"formula": "Pr2TmTl3", "functional": "GGA-PBE", "state": "optimized geometry", "e_above_lowest_polymorph_ev_per_atom": 0.000, "lattice": [[3.826, 0.000, 0.000], [0.000, 3.826, 0.000], [0.000, 0.000, 11.911]], "species": ["Pr", "Pr", "Tm", "Tl", "Tl", "Tl"], "fractional_positions": [[0.000, 0.000, 0.174], [0.000, 0.000, 0.826], [0.000, 0.000, 0.500], [0.500, 0.500, 0.000], [0.500, 0.500, 0.349], [0.500, 0.500, 0.651]]}

{"formula": "BeAgBr4", "functional": "GGA-PBE", "state": "optimized geometry", "raw_formation_energy_kj_per_mol_atoms": -44.2, "e_above_lowest_polymorph_ev_per_atom": 0.000, "lattice": [[7.175, 0.000, 0.000], [0.000, 7.175, 0.000], [0.000, 0.000, 9.221]], "species": ["Be", "Be", "Ag", "Ag", "Br", "Br", "Br", "Br", "Br", "Br", "Br", "Br"], "fractional_positions": [[0.000, 0.500, 0.000], [0.500, 0.000, 0.500], [0.000, 0.000, 0.000], [0.000, 0.000, 0.500], [0.229, 0.281, 0.000], [0.229, 0.719, 0.000], [0.281, 0.229, 0.500], [0.281, 0.771, 0.500], [0.719, 0.229, 0.500], [0.719, 0.771, 0.500], [0.771, 0.281, 0.000], [0.771, 0.719, 0.000]]}

{"formula": "MnMoS", "functional": "GGA-PBE", "state": "optimized geometry", "raw_formation_energy_kj_per_mol_atoms": -20.4, "e_above_lowest_polymorph_ev_per_atom": 0.000, "lattice": [[4.614, 0.000, 0.000], [0.000, 3.166, 0.000], [-1.846, 0.000, 5.636]], "species": ["Mn", "Mn", "Mo", "Mo", "S", "S"], "fractional_positions": [[0.184, 0.250, 0.430], [0.816, 0.750, 0.570], [0.207, 0.250, 0.917], [0.793, 0.750, 0.083], [0.383, 0.750, 0.246], [0.617, 0.250, 0.754]]}

It is found that the M_tot values, taken in the order of the records, are 0.00, 0.00, 8.60, 3.68, 0.00, 0.00, 2.02, 0.00, 1.00, 0.00, 0.00, 1.98 μB per formula unit.